# CdCu2SnS4

CdCu2SnS4 after structural relaxation (PBE-GGA, Alexandria via LeMat-Bulk).

abc: 6.7889 6.7889 6.7889
angles: 130.98 130.98 71.85
Atoms (fractional coordinates):
Cd 0.0000 0.0000 0.0000
Cu 0.2500 0.7500 0.5000
Cu 0.7500 0.2500 0.5000
Sn 0.5000 0.5000 0.0000
S 0.1175 0.1175 0.5158
S 0.3984 0.8825 0.0000
S 0.6016 0.6016 0.4842
S 0.8825 0.3984 0.0000

Properties
As for the energy: -32.94 eV/f.u. Its calculated volume is 174 Å³/f.u. Its symmetry is No. 121. The calculation puts the density of states at the Fermi level at 0.02 states/eV per cell. Its uncorrected formation energy is -415 meV per atom.